# CrCdO2 (GGA+U, optimized geometry)
data_CrCdO2
_space_group_name_H-M_alt 'R -3 m'
_space_group_IT_number 166
_space_group_name_Hall '-R 3 2"'
_cell_length_a 3.4387
_cell_length_b 3.4387
_cell_length_c 18.4788
_cell_angle_alpha 90.00
_cell_angle_beta 90.00
_cell_angle_gamma 120.00
loop_
_atom_site_label
_atom_site_type_symbol
_atom_site_fract_x
_atom_site_fract_y
_atom_site_fract_z
_atom_site_occupancy
Cr1 Cr 0.0000 0.0000 0.0000 1
Cd1 Cd 0.0000 0.0000 0.5000 1
O1 O 0.0000 0.0000 0.1008 1
# density of states at the Fermi level = 0.41 states/eV per atom
# raw total energy = -5.417 eV/atom